*one*
AcPrSmTh | GGA-PBE | optimized geometry

Structure (POSCAR):
```
AcPrSmTh
1.0
0.000 4.177 4.177
4.177 0.000 4.177
4.177 4.177 0.000
Ac Pr Sm Th
1 1 1 1
Cartesian
0.000 0.000 0.000
2.088 2.088 2.088
6.265 6.265 6.265
4.177 4.177 4.177
```

## Properties
The density comes out at 8.55 Mg/m³. The value obtained for the size of the total moment is 0.00 Bohr magnetons per cell.


*two*
AcPrSmTh | GGA-PBE | optimized geometry

Structure (POSCAR):
```
AcPrSmTh
1.0
3.705 0.000 0.000
0.000 3.705 0.000
0.000 0.000 10.675
Ac Pr Sm Th
1 1 1 1
Cartesian
0.000 0.000 0.000
1.852 1.852 7.725
1.852 1.852 2.873
0.000 0.000 5.275
```

## Properties
The density comes out at 8.50 Mg/m³. The value obtained for the size of the total moment is 0.00 Bohr magnetons per cell.


Quick one: most stable of them? *two*


*one*
AcPrSn | GGA-PBE | optimized geometry

Structure (POSCAR):
```
AcPrSn
1.0
4.648 0.000 0.000
-2.324 4.025 0.000
0.000 0.000 6.663
Ac Pr Sn
1 1 1
Cartesian
0.000 0.000 0.000
2.324 1.342 3.067
0.000 2.683 4.685
```

## Properties
The density comes out at 6.48 Mg/m³. The value obtained for the size of the total moment is 1.45 Bohr magnetons per cell.


*two*
AcPrSn | GGA-PBE | optimized geometry

Structure (POSCAR):
```
AcPrSn
1.0
5.688 -2.175 0.000
5.688 2.175 0.000
-3.222 0.000 8.035
Ac Pr Sn
2 2 2
Cartesian
1.538 0.000 0.710
6.616 0.000 7.326
-0.127 0.000 4.571
8.282 0.000 3.465
4.846 0.000 2.097
3.308 0.000 5.939
```

## Properties
The density comes out at 8.13 Mg/m³. The value obtained for the size of the total moment is 0.00 Bohr magnetons per cell.


Quick one: most stable of them? *two*


*one*
AcPrSn | GGA-PBE | optimized geometry

Structure (POSCAR):
```
AcPrSn
1.0
4.518 0.000 0.000
-2.259 3.913 0.000
0.000 0.000 15.342
Ac Pr Sn
2 2 2
Cartesian
0.000 2.608 0.000
2.259 1.304 7.671
0.000 2.608 11.361
2.259 1.304 3.691
0.000 0.000 1.972
0.000 0.000 9.643
```

## Properties
The density comes out at 5.96 Mg/m³. The value obtained for the size of the total moment is 1.46 Bohr magnetons per cell.


*two*
AcPrSn | GGA-PBE | optimized geometry

Structure (POSCAR):
```
AcPrSn
1.0
0.000 3.885 3.885
3.885 0.000 3.885
3.885 3.885 0.000
Ac Pr Sn
1 1 1
Cartesian
0.000 0.000 0.000
3.885 3.885 3.885
5.828 5.828 5.828
```

## Properties
The density comes out at 6.89 Mg/m³. The value obtained for the size of the total moment is 0.01 Bohr magnetons per cell.


Quick one: most stable of them? *two*


*one*
AcPrSn | GGA-PBE | optimized geometry

Structure (POSCAR):
```
AcPrSn
1.0
-2.164 2.164 5.302
2.164 -2.164 5.302
2.164 2.164 -5.302
Ac Pr Sn
1 1 1
Cartesian
0.000 0.000 0.000
0.000 0.000 7.334
0.000 0.000 3.557
```

## Properties
The density comes out at 8.14 Mg/m³. The value obtained for the size of the total moment is 0.00 Bohr magnetons per cell.


*two*
AcPrSn | GGA-PBE | optimized geometry

Structure (POSCAR):
```
AcPrSn
1.0
-2.442 2.442 9.074
2.442 -2.442 9.074
2.442 2.442 -9.074
Ac Pr Sn
2 2 2
Cartesian
0.000 0.000 3.240
0.000 0.000 14.908
2.442 0.000 0.000
0.000 2.442 0.000
0.000 0.000 6.705
0.000 0.000 11.443
```

## Properties
The density comes out at 7.47 Mg/m³. The value obtained for the size of the total moment is 0.65 Bohr magnetons per cell.


Quick one: most stable of them? *two*


*one*
AcPr2Sn | GGA-PBE | optimized geometry

Structure (POSCAR):
```
AcPr2Sn
1.0
2.056 1.187 10.174
-2.056 1.187 10.174
0.000 -2.374 10.174
Ac Pr Sn
1 2 1
Cartesian
0.000 0.000 0.000
0.000 0.000 17.350
0.000 0.000 23.310
0.000 0.000 5.059
```

## Properties
The density comes out at 6.99 Mg/m³. The value obtained for the size of the total moment is 0.00 Bohr magnetons per cell.


*two*
AcPr2Sn | GGA-PBE | optimized geometry

Structure (POSCAR):
```
AcPr2Sn
1.0
2.223 -6.348 0.000
2.223 6.348 0.000
0.000 0.000 10.154
Ac Pr Sn
2 4 2
Cartesian
2.223 5.629 7.615
2.223 -5.629 2.538
2.223 1.801 5.503
2.223 1.801 9.728
2.223 -1.801 0.426
2.223 -1.801 4.651
2.223 3.378 2.538
2.223 -3.378 7.615
```

## Properties
The density comes out at 7.27 Mg/m³. The value obtained for the size of the total moment is 0.00 Bohr magnetons per cell.


Quick one: most stable of them? *two*


*one*
AcPr2Sn | GGA-PBE | optimized geometry

Structure (POSCAR):
```
AcPr2Sn
1.0
4.220 0.000 0.000
0.000 4.220 0.000
0.000 0.000 7.652
Ac Pr Sn
1 2 1
Cartesian
0.000 0.000 0.000
2.110 2.110 2.256
2.110 2.110 5.397
0.000 0.000 3.826
```

## Properties
The density comes out at 7.65 Mg/m³. The value obtained for the size of the total moment is 0.58 Bohr magnetons per cell.


*two*
AcPr2Sn | GGA-PBE | optimized geometry

Structure (POSCAR):
```
AcPr2Sn
1.0
0.000 4.041 4.041
4.041 0.000 4.041
4.041 4.041 0.000
Ac Pr Sn
1 2 1
Cartesian
0.000 0.000 0.000
2.021 2.021 2.021
6.062 6.062 6.062
4.041 4.041 4.041
```

## Properties
The density comes out at 7.89 Mg/m³. The value obtained for the size of the total moment is 0.00 Bohr magnetons per cell.


Quick one: most stable of them? *one*


*one*
AcPr2Sn | GGA-PBE | optimized geometry

Structure (POSCAR):
```
AcPr2Sn
1.0
5.133 0.000 0.000
0.000 5.133 0.000
0.000 0.000 5.031
Ac Pr Sn
1 2 1
Cartesian
0.000 0.000 0.000
0.000 2.567 2.515
2.567 0.000 2.515
2.567 2.567 0.000
```

## Properties
The density comes out at 7.86 Mg/m³. The value obtained for the size of the total moment is 0.00 Bohr magnetons per cell.


*two*
AcPr2Sn | GGA-PBE | optimized geometry

Structure (POSCAR):
```
AcPr2Sn
1.0
1.859 1.073 12.223
-1.859 1.073 12.223
0.000 -2.146 12.223
Ac Pr Sn
1 2 1
Cartesian
0.000 0.000 0.000
0.000 0.000 3.604
0.000 0.000 33.064
0.000 0.000 18.334
```

## Properties
The density comes out at 7.12 Mg/m³. The value obtained for the size of the total moment is 0.00 Bohr magnetons per cell.


Quick one: most stable of them? *one*


*one*
Ac2Pr3Sn4 | GGA-PBE | optimized geometry

Structure (POSCAR):
```
Ac2Pr3Sn4
1.0
3.698 -9.005 0.000
3.698 9.005 0.000
0.000 0.000 9.304
Ac Pr Sn
4 6 8
Cartesian
3.698 7.025 8.502
3.698 1.980 3.851
3.698 -1.980 5.453
3.698 -7.025 0.801
0.000 0.000 4.652
1.849 3.736 6.978
1.849 -3.736 2.326
3.698 0.000 0.000
5.547 3.736 6.978
5.547 -3.736 2.326
3.698 5.666 5.166
1.849 0.587 6.978
1.849 -0.587 2.326
3.698 3.339 0.514
3.698 -3.339 8.790
5.547 0.587 6.978
5.547 -0.587 2.326
3.698 -5.666 4.138
```

## Properties
The density comes out at 7.24 Mg/m³. The value obtained for the size of the total moment is 0.00 Bohr magnetons per cell.


*two*
Ac2Pr3Sn4 | GGA-PBE | optimized geometry

Structure (POSCAR):
```
Ac2Pr3Sn4
1.0
8.699 0.000 0.000
0.000 8.748 0.000
-2.799 0.000 7.975
Ac Pr Sn
4 6 8
Cartesian
1.492 1.549 0.548
0.093 2.825 4.535
5.807 5.923 3.440
4.408 7.199 7.428
1.461 5.878 1.978
0.061 7.243 5.965
2.950 0.000 3.988
4.349 4.374 0.000
5.839 1.504 2.010
4.439 2.870 5.997
-1.679 4.708 6.813
-0.280 8.414 2.826
1.856 1.146 6.909
3.256 3.228 2.922
2.644 5.520 5.053
4.044 7.602 1.066
6.180 0.334 5.149
7.579 4.040 1.162
```

## Properties
The density comes out at 7.40 Mg/m³. The value obtained for the size of the total moment is 0.00 Bohr magnetons per cell.


Quick one: most stable of them? *two*


*one*
AcPr2Sn2 | GGA-PBE | optimized geometry

Structure (POSCAR):
```
AcPr2Sn2
1.0
6.606 -2.118 0.000
6.606 2.118 0.000
-1.318 0.000 6.231
Ac Pr Sn
1 2 2
Cartesian
0.000 0.000 0.000
4.258 0.000 2.686
7.637 0.000 3.545
2.648 0.000 5.453
9.247 0.000 0.778
```

## Properties
The density comes out at 7.11 Mg/m³. The value obtained for the size of the total moment is 0.00 Bohr magnetons per cell.


*two*
AcPr2Sn2 | GGA-PBE | optimized geometry

Structure (POSCAR):
```
AcPr2Sn2
1.0
8.683 0.000 0.000
0.000 8.683 0.000
0.000 0.000 4.417
Ac Pr Sn
2 4 4
Cartesian
0.000 0.000 0.000
4.342 4.342 0.000
1.487 2.855 2.208
2.855 7.197 2.208
5.828 1.487 2.208
7.197 5.828 2.208
1.077 5.419 0.000
3.264 1.077 0.000
5.419 7.606 0.000
7.606 3.264 0.000
```

## Properties
The density comes out at 7.44 Mg/m³. The value obtained for the size of the total moment is 0.00 Bohr magnetons per cell.


Quick one: most stable of them? *two*


*one*
Ac2PrSn | GGA-PBE | optimized geometry

Structure (POSCAR):
```
Ac2PrSn
1.0
5.235 0.000 0.000
0.000 5.235 0.000
0.000 0.000 5.156
Ac Pr Sn
2 1 1
Cartesian
0.000 2.617 0.000
2.617 0.000 0.000
0.000 0.000 2.578
2.617 2.617 2.578
```

## Properties
The density comes out at 8.39 Mg/m³. The value obtained for the size of the total moment is 0.00 Bohr magnetons per cell.


*two*
Ac2PrSn | GGA-PBE | optimized geometry

Structure (POSCAR):
```
Ac2PrSn
1.0
4.470 0.000 0.000
0.000 4.470 0.000
0.000 0.000 7.406
Ac Pr Sn
2 1 1
Cartesian
0.000 0.000 1.690
0.000 0.000 5.716
2.235 2.235 3.703
2.235 2.235 0.000
```

## Properties
The density comes out at 8.01 Mg/m³. The value obtained for the size of the total moment is 0.00 Bohr magnetons per cell.


Quick one: most stable of them? *one*


*one*
Ac2PrSn | GGA-PBE | optimized geometry

Structure (POSCAR):
```
Ac2PrSn
1.0
1.878 1.084 12.667
-1.878 1.084 12.667
0.000 -2.169 12.667
Ac Pr Sn
2 1 1
Cartesian
0.000 0.000 3.606
0.000 0.000 34.395
0.000 0.000 0.000
0.000 0.000 19.000
```

## Properties
The density comes out at 7.66 Mg/m³. The value obtained for the size of the total moment is 0.14 Bohr magnetons per cell.


*two*
Ac2PrSn | GGA-PBE | optimized geometry

Structure (POSCAR):
```
Ac2PrSn
1.0
0.000 4.175 4.175
4.175 0.000 4.175
4.175 4.175 0.000
Ac Pr Sn
2 1 1
Cartesian
2.087 2.087 2.087
6.262 6.262 6.262
0.000 0.000 0.000
4.175 4.175 4.175
```

## Properties
The density comes out at 8.14 Mg/m³. The value obtained for the size of the total moment is 0.00 Bohr magnetons per cell.


Quick one: most stable of them? *two*


*one*
AcPrSnTe | GGA-PBE | optimized geometry

Structure (POSCAR):
```
AcPrSnTe
1.0
2.342 1.352 7.676
-2.342 1.352 7.676
0.000 -2.705 7.676
Ac Pr Sn Te
1 1 1 1
Cartesian
0.000 0.000 0.000
0.000 0.000 11.347
0.000 0.000 17.291
0.000 0.000 5.584
```

## Properties
The density comes out at 6.99 Mg/m³. The value obtained for the size of the total moment is 0.00 Bohr magnetons per cell.


*two*
AcPrSnTe | GGA-PBE | optimized geometry

Structure (POSCAR):
```
AcPrSnTe
1.0
0.000 4.024 4.024
4.024 0.000 4.024
4.024 4.024 0.000
Ac Pr Sn Te
1 1 1 1
Cartesian
0.000 0.000 0.000
4.024 4.024 4.024
6.036 6.036 6.036
2.012 2.012 2.012
```

## Properties
The density comes out at 7.83 Mg/m³. The value obtained for the size of the total moment is 0.00 Bohr magnetons per cell.


Quick one: most stable of them? *one*


*one*
AcPrTlSn | GGA-PBE | optimized geometry

Structure (POSCAR):
```
AcPrTlSn
1.0
0.000 4.020 4.020
4.020 0.000 4.020
4.020 4.020 0.000
Ac Pr Tl Sn
1 1 1 1
Cartesian
0.000 0.000 0.000
4.020 4.020 4.020
2.010 2.010 2.010
6.029 6.029 6.029
```

## Properties
The density comes out at 8.83 Mg/m³. The value obtained for the size of the total moment is 0.00 Bohr magnetons per cell.


*two*
AcPrTlSn | GGA-PBE | optimized geometry

Structure (POSCAR):
```
AcPrTlSn
1.0
4.556 0.000 0.000
0.000 2.428 6.146
0.000 -2.428 6.146
Ac Pr Tl Sn
1 1 1 1
Cartesian
0.000 0.000 0.000
2.278 0.000 8.905
2.278 0.000 5.436
0.000 0.000 3.382
```

## Properties
The density comes out at 8.44 Mg/m³. The value obtained for the size of the total moment is 0.13 Bohr magnetons per cell.


Quick one: most stable of them? *two*